Entry 1:
Below is a PBEsol-optimized structure of MnNi2IrW, with properties calculated at the meta-GGA SCAN level.

Lattice parameters (Å, degrees): 4.117 4.117 4.276 90.00 90.00 90.00
Fractional coordinates of all 5 atoms:
Ni  0.000  0.500  0.000
Ir  0.500  0.500  0.500
Ni  0.500  0.000  0.000
Mn  0.000  0.000  0.000
W  0.000  0.000  0.500

Results
- ΔE_f (eV/atom) = 1.462
- uncorrected energy (eV per cell) = -184.1
- total moment (μB/f.u.) = 0.00

=====

Entry 2:
Below is a PBEsol-optimized structure of MnIr2Os, with properties calculated at the meta-GGA SCAN level.

Lattice parameters (Å, degrees): 2.688 3.755 5.334 90.00 90.00 90.00
Each line ends with the local moment (μB).
Fractional coordinates of all 4 atoms:
Os  0.500  0.500  0.500  -0.09
Ir  0.000  0.000  0.753  -0.14
Ir  0.000  0.000  0.247  -0.14
Mn  0.500  0.500  0.000  3.31

Results
- ΔE_f (eV/atom) = -0.227
- uncorrected energy (eV per cell) = -233.2
- total moment (μB/f.u.) = 3.02

=====

Entry 3:
Below is a PBEsol-optimized structure of MnIr2Os, with properties calculated at the meta-GGA SCAN level.

Lattice parameters (Å, degrees): 2.683 4.241 4.654 90.00 90.00 90.00
Each line ends with the local moment (μB).
Fractional coordinates of all 4 atoms:
Ir  0.000  0.500  0.702  -0.26
Os  0.500  0.500  0.216  -0.24
Ir  0.000  0.000  0.044  -0.25
Mn  0.500  0.000  0.539  2.85

Results
- ΔE_f (eV/atom) = -0.197
- uncorrected energy (eV per cell) = -233.1
- total moment (μB/f.u.) = 2.11

=====

Entry 4:
Below is a PBEsol-optimized structure of MnIr2Os, with properties calculated at the meta-GGA SCAN level.

Lattice parameters (Å, degrees): 2.668 2.668 8.756 81.24 81.24 60.00
Each line ends with the local moment (μB).
Fractional coordinates of all 4 atoms:
Mn  0.500  0.500  0.499  3.01
Ir  0.999  0.999  0.003  -0.03
Ir  0.755  0.755  0.736  -0.03
Os  0.246  0.246  0.263  -0.19

Results
- ΔE_f (eV/atom) = -0.043
- uncorrected energy (eV per cell) = -232.5
- total moment (μB/f.u.) = 2.82

=====

Entry 5:
Below is a PBEsol-optimized structure of MnPIr, with properties calculated at the meta-GGA SCAN level.

Lattice parameters (Å, degrees): 2.853 3.996 3.996 120.00 90.00 90.00
Each line ends with the local moment (μB).
Fractional coordinates of all 3 atoms:
P  0.500  0.667  0.333  -0.11
Ir  0.500  0.000  0.000  -0.06
Mn  0.000  0.333  0.667  3.65

Results
- ΔE_f (eV/atom) = -0.552
- uncorrected energy (eV per cell) = -101.4
- total moment (μB/f.u.) = 3.50

=====

Entry 6:
Below is a PBEsol-optimized structure of Mn2PIr, with properties calculated at the meta-GGA SCAN level.

Lattice parameters (Å, degrees): 2.820 3.421 5.362 90.00 105.25 90.00
Each line ends with the local moment (μB).
Fractional coordinates of all 4 atoms:
P  0.839  0.000  0.679  -0.13
Ir  0.685  0.500  0.370  -0.03
Mn  0.419  0.500  0.837  2.56
Mn  0.061  0.000  0.123  3.17

Results
- ΔE_f (eV/atom) = -0.457
- uncorrected energy (eV per cell) = -119.8
- total moment (μB/f.u.) = 5.59